# 1
A relaxed structure of CaTaAu2. Source: the Alexandria database, functional PBE-GGA.

Cell lengths 3.518, 3.518, 6.762 Å; angles 90.00, 90.00, 90.00 degrees
Element x y z (fractional)
Au  0.500  0.500  0.231
Au  0.000  0.000  0.989
Ca  0.000  0.000  0.481
Ta  0.500  0.500  0.799

Output
- Energy relative to the elements: 0.03 eV per atom
- D(E_F): 3.03 states/eV per cell
- ΔE to the lowest computed polymorph: 5.333 kcal/mol of atoms
- Final energy: -5.068 eV per atom

# 2
A relaxed structure of CaTa2Au. Source: the Alexandria database, functional PBE-GGA.

Cell lengths 5.776, 5.776, 5.776 Å; angles 139.25, 139.25, 58.99 degrees
Element x y z (fractional)
Au  0.250  0.750  0.500
Ta  0.000  0.000  0.000
Ta  0.500  0.500  0.000
Ca  0.750  0.250  0.500

Output
- Energy relative to the elements: 0.34 eV per atom
- D(E_F): 4.69 states/eV per cell
- ΔE to the lowest computed polymorph: 4.969 kcal/mol of atoms
- Final energy: -6.904 eV per atom

# 3
A relaxed structure of CaTaAu. Source: the Alexandria database, functional PBE-GGA.

Cell lengths 3.311, 10.522, 4.245 Å; angles 78.37, 90.00, 80.93 degrees
Element x y z (fractional)
Ca  0.608  0.735  0.220
Ta  0.781  0.391  0.892
Ca  0.431  0.091  0.042
Au  0.022  0.908  0.634
Au  0.172  0.609  0.783
Ta  0.289  0.375  0.400

Output
- Energy relative to the elements: -0.03 eV per atom
- D(E_F): 4.44 states/eV per cell
- ΔE to the lowest computed polymorph: 3.408 kcal/mol of atoms
- Final energy: -5.738 eV per atom

# 4
A relaxed structure of CaTaAu. Source: the Alexandria database, functional PBE-GGA.

Cell lengths 7.903, 3.148, 5.957 Å; angles 105.32, 78.33, 101.47 degrees
Element x y z (fractional)
Ca  0.638  0.980  0.162
Au  0.968  0.644  0.162
Ta  0.268  0.214  0.003
Au  0.266  0.927  0.430
Ta  0.472  0.658  0.687
Ca  0.932  0.362  0.634

Output
- Energy relative to the elements: 0.02 eV per atom
- D(E_F): 4.12 states/eV per cell
- ΔE to the lowest computed polymorph: 4.552 kcal/mol of atoms
- Final energy: -5.688 eV per atom

# 5
A relaxed structure of CaTaAu2. Source: the Alexandria database, functional PBE-GGA.

Cell lengths 3.832, 3.031, 7.724 Å; angles 66.89, 90.00, 90.00 degrees
Element x y z (fractional)
Au  0.000  0.039  0.961
Au  0.000  0.461  0.539
Ca  0.500  0.250  0.250
Ta  0.500  0.750  0.750

Output
- Energy relative to the elements: -0.20 eV per atom
- D(E_F): 2.43 states/eV per cell
- ΔE to the lowest computed polymorph: 0.000 kcal/mol of atoms
- Final energy: -5.299 eV per atom

# 6
A relaxed structure of CaTa2Au. Source: the Alexandria database, functional PBE-GGA.

Cell lengths 4.983, 4.983, 3.167 Å; angles 90.00, 90.00, 90.00 degrees
Element x y z (fractional)
Ca  0.000  0.500  0.500
Ta  0.000  0.000  0.000
Au  0.500  0.000  0.500
Ta  0.500  0.500  0.000

Output
- Energy relative to the elements: 0.79 eV per atom
- D(E_F): 3.87 states/eV per cell
- ΔE to the lowest computed polymorph: 15.267 kcal/mol of atoms
- Final energy: -6.457 eV per atom

# 7
A relaxed structure of CaTa2Au. Source: the Alexandria database, functional PBE-GGA.

Cell lengths 2.816, 5.110, 5.632 Å; angles 90.00, 90.00, 90.00 degrees
Element x y z (fractional)
Ta  0.000  0.000  0.001
Ca  0.500  0.500  0.750
Au  0.500  0.500  0.250
Ta  0.000  0.000  0.499

Output
- Energy relative to the elements: 0.53 eV per atom
- D(E_F): 5.28 states/eV per cell
- ΔE to the lowest computed polymorph: 9.179 kcal/mol of atoms
- Final energy: -6.721 eV per atom

# 8
A relaxed structure of CaTa2Au. Source: the Alexandria database, functional PBE-GGA.

Cell lengths 3.449, 3.449, 7.274 Å; angles 90.00, 90.00, 90.00 degrees
Element x y z (fractional)
Ta  0.000  0.000  0.058
Au  0.000  0.000  0.471
Ta  0.500  0.500  0.232
Ca  0.500  0.500  0.739

Output
- Energy relative to the elements: 0.13 eV per atom
- D(E_F): 4.18 states/eV per cell
- ΔE to the lowest computed polymorph: 0.000 kcal/mol of atoms
- Final energy: -7.119 eV per atom

# 9
A relaxed structure of CaTaTiAu2. Source: the Alexandria database, functional PBE-GGA.

Cell lengths 5.239, 4.652, 5.239 Å; angles 90.00, 90.00, 90.00 degrees
Element x y z (fractional)
Ca  0.500  0.500  0.500
Ti  0.000  0.500  0.000
Au  0.500  0.000  0.000
Ta  0.000  0.000  0.000
Au  0.000  0.000  0.500

Output
- Energy relative to the elements: 0.36 eV per atom
- D(E_F): 3.96 states/eV per cell
- Final energy: -5.298 eV per atom

# 10
A relaxed structure of Ca2Tb2Au3. Source: the Alexandria database, functional PBE-GGA.

Cell lengths 5.094, 5.094, 8.873 Å; angles 90.00, 106.68, 120.00 degrees
Element x y z (fractional)
Ca  0.252  0.626  0.879
Ca  0.748  0.374  0.121
Au  0.479  0.239  0.718
Au  0.521  0.761  0.282
Tb  0.246  0.123  0.370
Au  0.000  0.000  0.000
Tb  0.754  0.877  0.630

Output
- Energy relative to the elements: -0.68 eV per atom
- D(E_F): 5.04 states/eV per cell
- Final energy: -3.981 eV per atom

# 11
A relaxed structure of CaTb3Au4. Source: the Alexandria database, functional PBE-GGA.

Cell lengths 5.106, 5.106, 8.885 Å; angles 73.30, 73.30, 60.00 degrees
Element x y z (fractional)
Au  0.130  0.130  0.611
Au  0.870  0.870  0.389
Au  0.621  0.621  0.136
Tb  0.748  0.748  0.756
Tb  0.500  0.500  0.500
Tb  0.252  0.252  0.244
Au  0.379  0.379  0.864
Ca  0.000  0.000  0.000

Output
- Energy relative to the elements: -0.84 eV per atom
- D(E_F): 4.28 states/eV per cell
- Final energy: -4.466 eV per atom

# 12
A relaxed structure of CaTb2Au3. Source: the Alexandria database, functional PBE-GGA.

Cell lengths 3.614, 3.614, 10.986 Å; angles 90.00, 90.00, 90.00 degrees
Element x y z (fractional)
Au  0.000  0.000  0.319
Tb  0.500  0.500  0.167
Au  0.000  0.000  0.681
Tb  0.500  0.500  0.833
Au  0.000  0.000  0.000
Ca  0.500  0.500  0.500

Output
- Energy relative to the elements: -0.84 eV per atom
- D(E_F): 3.54 states/eV per cell
- ΔE to the lowest computed polymorph: 0.000 kcal/mol of atoms
- Final energy: -4.356 eV per atom

# 13
A relaxed structure of Ca3TbAu4. Source: the Alexandria database, functional PBE-GGA.

Cell lengths 6.271, 6.271, 6.271 Å; angles 109.47, 109.47, 109.47 degrees
Element x y z (fractional)
Au  0.500  0.000  0.000
Au  0.000  0.000  0.500
Ca  0.500  0.000  0.500
Au  0.500  0.500  0.500
Au  0.000  0.500  0.000
Ca  0.000  0.500  0.500
Ca  0.500  0.500  0.000
Tb  0.000  0.000  0.000

Output
- Energy relative to the elements: -0.80 eV per atom
- D(E_F): 5.27 states/eV per cell
- Final energy: -3.765 eV per atom

# 14
A relaxed structure of Ca2TbAu. Source: the Alexandria database, functional PBE-GGA.

Cell lengths 3.732, 3.732, 11.348 Å; angles 80.54, 80.54, 60.00 degrees
Element x y z (fractional)
Ca  0.894  0.894  0.317
Au  0.500  0.500  0.500
Ca  0.106  0.106  0.683
Tb  0.000  0.000  0.000

Output
- Energy relative to the elements: -0.09 eV per atom
- D(E_F): 4.75 states/eV per cell
- ΔE to the lowest computed polymorph: 5.160 kcal/mol of atoms
- Final energy: -3.065 eV per atom

# 15
A relaxed structure of CaTbAu6. Source: the Alexandria database, functional PBE-GGA.

Cell lengths 4.467, 5.165, 8.186 Å; angles 80.75, 74.16, 64.37 degrees
Element x y z (fractional)
Au  0.753  0.123  0.372
Au  0.247  0.877  0.628
Au  0.750  0.624  0.876
Au  0.502  0.245  0.751
Ca  0.000  0.500  0.500
Au  0.498  0.755  0.249
Tb  0.000  0.000  0.000
Au  0.250  0.376  0.124

Output
- Energy relative to the elements: -0.60 eV per atom
- D(E_F): 2.95 states/eV per cell
- Final energy: -3.892 eV per atom

# 16
A relaxed structure of CaTbAu. Source: the Alexandria database, functional PBE-GGA.

Cell lengths 3.662, 3.662, 6.950 Å; angles 105.28, 105.28, 90.00 degrees
Element x y z (fractional)
Tb  0.296  0.296  0.592
Au  0.678  0.678  0.356
Ca  0.026  0.026  0.052

Output
- Energy relative to the elements: -0.54 eV per atom
- D(E_F): 2.18 states/eV per cell
- ΔE to the lowest computed polymorph: 0.000 kcal/mol of atoms
- Final energy: -3.839 eV per atom

# 17
A relaxed structure of CaTbAu. Source: the Alexandria database, functional PBE-GGA.

Cell lengths 5.021, 5.021, 5.021 Å; angles 60.00, 60.00, 60.00 degrees
Element x y z (fractional)
Tb  0.500  0.500  0.500
Ca  0.000  0.000  0.000
Au  0.250  0.250  0.250

Output
- Energy relative to the elements: -0.45 eV per atom
- D(E_F): 3.86 states/eV per cell
- ΔE to the lowest computed polymorph: 1.871 kcal/mol of atoms
- Final energy: -3.758 eV per atom

# 18
A relaxed structure of CaTb2Au. Source: the Alexandria database, functional PBE-GGA.

Cell lengths 3.633, 3.633, 9.356 Å; angles 90.00, 90.00, 90.00 degrees
Element x y z (fractional)
Ca  0.500  0.500  0.500
Au  0.500  0.500  0.000
Tb  0.000  0.000  0.184
Tb  0.000  0.000  0.816

Output
- Energy relative to the elements: -0.35 eV per atom
- D(E_F): 4.15 states/eV per cell
- ΔE to the lowest computed polymorph: 0.000 kcal/mol of atoms
- Final energy: -3.980 eV per atom

# 19
A relaxed structure of CaTb2Au3. Source: the Alexandria database, functional PBE-GGA.

Cell lengths 5.103, 5.103, 12.563 Å; angles 90.00, 90.00, 120.00 degrees
Element x y z (fractional)
Ca  0.333  0.667  0.667
Au  0.667  0.333  0.581
Tb  0.667  0.333  0.830
Au  0.333  0.667  0.419
Au  0.333  0.667  0.926
Au  0.000  0.000  0.754
Tb  0.000  0.000  0.500
Au  0.667  0.333  0.074
Au  0.000  0.000  0.246
Tb  0.000  0.000  0.000
Ca  0.667  0.333  0.333
Tb  0.333  0.667  0.170

Output
- Energy relative to the elements: -0.83 eV per atom
- D(E_F): 7.06 states/eV per cell
- ΔE to the lowest computed polymorph: 0.166 kcal/mol of atoms
- Final energy: -4.348 eV per atom

# 20
A relaxed structure of CaTbAu2. Source: the Alexandria database, functional PBE-GGA.

Cell lengths 4.102, 4.102, 7.804 Å; angles 74.77, 74.77, 60.00 degrees
Element x y z (fractional)
Au  0.254  0.254  0.238
Ca  0.498  0.498  0.505
Au  0.080  0.080  0.761
Tb  0.668  0.668  0.996

Output
- Energy relative to the elements: -0.71 eV per atom
- D(E_F): 2.27 states/eV per cell
- Final energy: -4.005 eV per atom

no.,density (g/cm³)
1,12.20
2,12.23
3,9.71
4,10.04
5,12.38
6,12.65
7,12.27
8,11.50
9,8.62
10,8.73
11,11.45
12,10.98
13,9.34
14,5.39
15,14.01
16,7.60
17,7.35
18,7.46
19,11.12
20,9.09